# MgZr3 (GGA-PBEsol, relaxed)
data_MgZr3
_chemical_formula_sum 'Mg2 Zr6'
_space_group_name_H-M_alt 'P 63/m m c'
_space_group_IT_number 194
_space_group_name_Hall '-P 6c 2c'
_cell_length_a 6.2748
_cell_length_b 6.2748
_cell_length_c 5.0909
_cell_angle_alpha 90.00
_cell_angle_beta 90.00
_cell_angle_gamma 120.00
loop_
_atom_site_label
_atom_site_type_symbol
_atom_site_fract_x
_atom_site_fract_y
_atom_site_fract_z
Mg1 Mg 0.3333 0.6667 0.2500
Zr1 Zr 0.1683 0.3365 0.7500
# - total moment (μB/f.u.) = 0.00
# - energy of formation from the pure elements (eV/f.u.) = 0.18